No. 1
Below is an optimized crystal structure of UFeOs2, with properties calculated at the PBE level.

Calculated values
Calculated formation energy = -0.10 eV/atom
Excess energy over the best structure of this formula in the dataset = 0.0 meV/atom
Calculated volume = 62 Å³/f.u.
Total energy = -10.653 eV per atom

a = 3.9951 Å, b = 3.9951 Å, c = 3.9086 Å
α = 90.00°, β = 90.00°, γ = 90.00°
Positions (direct):
U  0.0000  0.0000  0.0000
Fe  0.5000  0.5000  0.0000
Os  0.0000  0.5000  0.5000
Os  0.5000  0.0000  0.5000


No. 2
Below is an optimized crystal structure of CdHgS2, with properties calculated at the PBE level.

Calculated values
Excess energy over the best structure of this formula in the dataset = 459.1 meV/atom
Calculated volume = 97 Å³/f.u.
Total energy = -2.292 eV per atom

a = 9.8603 Å, b = 9.8603 Å, c = 5.2667 Å
α = 90.00°, β = 90.00°, γ = 157.72°
Positions (direct):
Cd  0.0639  0.9361  0.7500
Cd  0.9361  0.0639  0.2500
Hg  0.3235  0.6765  0.7500
Hg  0.6765  0.3235  0.2500
S  0.0706  0.9294  0.2500
S  0.1944  0.8056  0.7500
S  0.8056  0.1944  0.2500
S  0.9294  0.0706  0.7500


No. 3
Below is an optimized crystal structure of CdP2SCl, with properties calculated at the PBE level.

Calculated values
Excess energy over the best structure of this formula in the dataset = 442.1 meV/atom
Calculated volume = 128 Å³/f.u.
Total energy = -2.411 eV per atom

a = 5.0980 Å, b = 5.0980 Å, c = 4.9061 Å
α = 90.00°, β = 90.00°, γ = 90.00°
Positions (direct):
Cd  0.0000  0.0000  0.0000
P  0.0000  0.5000  0.0000
P  0.5000  0.0000  0.0000
S  0.5000  0.5000  0.5000
Cl  0.0000  0.0000  0.5000


No. 4
Below is an optimized crystal structure of U3PaTl2O12, with properties calculated at the PBE level.

Calculated values
Calculated volume = 365 Å³/f.u.
Total energy = -8.830 eV per atom

a = 8.0289 Å, b = 8.0289 Å, c = 8.0289 Å
α = 59.92°, β = 59.92°, γ = 59.92°
Positions (direct):
U  0.0000  0.5000  0.5000
U  0.5000  0.0000  0.5000
U  0.5000  0.5000  0.0000
Pa  0.5000  0.5000  0.5000
Tl  0.1799  0.1799  0.1799
Tl  0.8201  0.8201  0.8201
O  0.1784  0.5653  0.5653
O  0.1895  0.1895  0.5519
O  0.1895  0.5519  0.1895
O  0.4347  0.4347  0.8216
O  0.4347  0.8216  0.4347
O  0.4481  0.8105  0.8105
O  0.5519  0.1895  0.1895
O  0.5653  0.1784  0.5653
O  0.5653  0.5653  0.1784
O  0.8105  0.4481  0.8105
O  0.8105  0.8105  0.4481
O  0.8216  0.4347  0.4347


No. 5
Below is an optimized crystal structure of SrFeRe, with properties calculated at the PBE level.

Calculated values
Calculated formation energy = 1.40 eV/atom
Excess energy over the best structure of this formula in the dataset = 803.9 meV/atom
Calculated volume = 61 Å³/f.u.
Total energy = -6.133 eV per atom

a = 4.4258 Å, b = 4.4258 Å, c = 4.4258 Å
α = 60.00°, β = 60.00°, γ = 60.00°
Positions (direct):
Sr  0.0000  0.0000  0.0000
Fe  0.2500  0.2500  0.2500
Re  0.5000  0.5000  0.5000


No. 6
Below is an optimized crystal structure of SmH5Ir, with properties calculated at the PBE level.

Calculated values
Calculated volume = 68 Å³/f.u.
Total energy = -4.798 eV per atom

a = 4.6424 Å, b = 4.6424 Å, c = 7.1061 Å
α = 92.58°, β = 92.58°, γ = 117.66°
Positions (direct):
Sm  0.1622  0.8378  0.7500
Sm  0.8378  0.1622  0.2500
H  0.1044  0.2291  0.9589
H  0.2291  0.1044  0.4589
H  0.2384  0.6438  0.4417
H  0.3562  0.7616  0.0583
H  0.4710  0.5290  0.7500
H  0.5290  0.4710  0.2500
H  0.6438  0.2384  0.9417
H  0.7616  0.3562  0.5583
H  0.7709  0.8956  0.5411
H  0.8956  0.7709  0.0411
Ir  0.5000  0.5000  0.0000
Ir  0.5000  0.5000  0.5000


No. 7
Below is an optimized crystal structure of BeFeSb3, with properties calculated at the PBE level.

Calculated values
Excess energy over the best structure of this formula in the dataset = 0.0 meV/atom
Calculated volume = 118 Å³/f.u.
Total energy = -4.105 eV per atom

a = 4.9103 Å, b = 4.9103 Å, c = 4.9103 Å
α = 90.00°, β = 90.00°, γ = 90.00°
Positions (direct):
Be  0.0000  0.0000  0.0000
Fe  0.5000  0.5000  0.5000
Sb  0.0000  0.5000  0.5000
Sb  0.5000  0.0000  0.5000
Sb  0.5000  0.5000  0.0000


No. 8
Below is an optimized crystal structure of LiZrBr2Cl, with properties calculated at the PBE level.

Calculated values
Calculated volume = 148 Å³/f.u.
Total energy = -4.066 eV per atom

a = 5.4206 Å, b = 5.4206 Å, c = 5.0422 Å
α = 90.00°, β = 90.00°, γ = 90.00°
Positions (direct):
Li  0.0000  0.0000  0.0000
Zr  0.5000  0.5000  0.5000
Br  0.0000  0.5000  0.5000
Br  0.5000  0.0000  0.5000
Cl  0.5000  0.5000  0.0000


No. 9
Below is an optimized crystal structure of Tb2Si2Tc, with properties calculated at the PBE level.

Calculated values
Excess energy over the best structure of this formula in the dataset = 0.0 meV/atom
Calculated volume = 102 Å³/f.u.
Total energy = -6.831 eV per atom

a = 5.8394 Å, b = 5.8394 Å, c = 10.1660 Å
α = 116.73°, β = 116.73°, γ = 42.03°
Positions (direct):
Tb  0.0055  0.0055  0.1780
Tb  0.1873  0.1873  0.6094
Tb  0.8127  0.8127  0.3906
Tb  0.9945  0.9945  0.8220
Si  0.3564  0.3564  0.9396
Si  0.4994  0.4994  0.6221
Si  0.5006  0.5006  0.3779
Si  0.6436  0.6436  0.0604
Tc  0.2739  0.2739  0.1290
Tc  0.7261  0.7261  0.8710


No. 10
Below is an optimized crystal structure of TaCdAu2, with properties calculated at the PBE level.

Calculated values
Calculated formation energy = 0.05 eV/atom
Calculated volume = 75 Å³/f.u.
Total energy = -4.780 eV per atom

a = 5.0686 Å, b = 5.0686 Å, c = 2.9015 Å
α = 90.00°, β = 90.00°, γ = 90.12°
Positions (direct):
Ta  0.0000  0.0000  0.0000
Cd  0.5000  0.5000  0.0000
Au  0.0000  0.5000  0.5000
Au  0.5000  0.0000  0.5000


No. 11
Below is an optimized crystal structure of KIrW2, with properties calculated at the PBE level.

Calculated values
Calculated formation energy = 1.67 eV/atom
Excess energy over the best structure of this formula in the dataset = 1018.4 meV/atom
Calculated volume = 69 Å³/f.u.
Total energy = -7.294 eV per atom

a = 4.9454 Å, b = 4.9454 Å, c = 2.8235 Å
α = 90.00°, β = 90.00°, γ = 90.00°
Positions (direct):
K  0.0000  0.0000  0.0000
Ir  0.5000  0.5000  0.0000
W  0.0000  0.5000  0.5000
W  0.5000  0.0000  0.5000


No. 12
Below is an optimized crystal structure of Hg2SbAu2, with properties calculated at the PBE level.

Calculated values
Excess energy over the best structure of this formula in the dataset = 144.8 meV/atom
Calculated volume = 114 Å³/f.u.
Total energy = -2.099 eV per atom

a = 7.5902 Å, b = 7.5902 Å, c = 7.5902 Å
α = 149.30°, β = 149.30°, γ = 43.97°
Positions (direct):
Hg  0.2500  0.7500  0.5000
Hg  0.7500  0.2500  0.5000
Sb  0.0000  0.0000  0.0000
Au  0.4040  0.4040  0.0000
Au  0.5960  0.5960  0.0000


No. 13
Below is an optimized crystal structure of CuSiW, with properties calculated at the PBE level.

Calculated values
Excess energy over the best structure of this formula in the dataset = 0.0 meV/atom
Calculated volume = 40 Å³/f.u.
Total energy = -7.384 eV per atom

a = 4.1478 Å, b = 4.1478 Å, c = 2.7053 Å
α = 90.00°, β = 90.00°, γ = 120.00°
Positions (direct):
Cu  0.0000  0.0000  0.0000
Si  0.6667  0.3333  0.0000
W  0.3333  0.6667  0.5000


No. 14
Below is an optimized crystal structure of Cd4RhW, with properties calculated at the PBE level.

Calculated values
Calculated formation energy = 0.72 eV/atom
Calculated volume = 115 Å³/f.u.
Total energy = -3.269 eV per atom

a = 5.4594 Å, b = 5.4594 Å, c = 5.4594 Å
α = 60.00°, β = 60.00°, γ = 60.00°
Positions (direct):
Cd  0.1248  0.1248  0.1248
Cd  0.1248  0.1248  0.6255
Cd  0.1248  0.6255  0.1248
Cd  0.6255  0.1248  0.1248
Rh  0.7500  0.7500  0.7500
W  0.5000  0.5000  0.5000


No. 15
Below is an optimized crystal structure of Sc2In2Au, with properties calculated at the PBE level.

Calculated values
Calculated formation energy = -0.40 eV/atom
Excess energy over the best structure of this formula in the dataset = 48.6 meV/atom
Calculated volume = 113 Å³/f.u.
Total energy = -4.683 eV per atom

a = 7.1545 Å, b = 7.1545 Å, c = 4.4000 Å
α = 90.00°, β = 90.00°, γ = 90.00°
Positions (direct):
Sc  0.1641  0.3359  0.0000
Sc  0.3359  0.8359  0.0000
Sc  0.6641  0.1641  0.0000
Sc  0.8359  0.6641  0.0000
In  0.1402  0.6402  0.5000
In  0.3598  0.1402  0.5000
In  0.6402  0.8598  0.5000
In  0.8598  0.3598  0.5000
Au  0.0000  0.0000  0.5000
Au  0.5000  0.5000  0.5000


No. 16
Below is an optimized crystal structure of AlRh3W, with properties calculated at the PBE level.

Calculated values
Calculated formation energy = 0.82 eV/atom
Excess energy over the best structure of this formula in the dataset = 0.0 meV/atom
Calculated volume = 83 Å³/f.u.
Total energy = -6.932 eV per atom

a = 4.3624 Å, b = 4.3624 Å, c = 4.3624 Å
α = 90.00°, β = 90.00°, γ = 90.00°
Positions (direct):
Al  0.0000  0.0000  0.0000
Rh  0.0000  0.0000  0.5000
Rh  0.0000  0.5000  0.0000
Rh  0.5000  0.0000  0.0000
W  0.5000  0.5000  0.5000


No. 17
Below is an optimized crystal structure of HfTi5Ga2, with properties calculated at the PBE level.

Calculated values
Calculated formation energy = -0.21 eV/atom
Calculated volume = 140 Å³/f.u.
Total energy = -7.146 eV per atom

a = 6.9935 Å, b = 6.9935 Å, c = 6.9935 Å
α = 154.88°, β = 100.87°, γ = 84.61°
Positions (direct):
Hf  0.0000  0.0000  0.0000
Ti  0.1450  0.3664  0.7786
Ti  0.4123  0.6337  0.7786
Ti  0.5000  0.0000  0.5000
Ti  0.5877  0.3664  0.2214
Ti  0.8550  0.6337  0.2214
Ga  0.2395  0.7395  0.5000
Ga  0.7605  0.2605  0.5000


No. 18
Below is an optimized crystal structure of HfCuNF2, with properties calculated at the PBE level.

Calculated values
Excess energy over the best structure of this formula in the dataset = 861.5 meV/atom
Calculated volume = 65 Å³/f.u.
Total energy = -5.883 eV per atom

a = 3.5567 Å, b = 3.5567 Å, c = 5.1278 Å
α = 90.00°, β = 90.00°, γ = 90.00°
Positions (direct):
Hf  0.0000  0.0000  0.0000
Cu  0.5000  0.5000  0.5000
N  0.5000  0.5000  0.0000
F  0.0000  0.5000  0.5000
F  0.5000  0.0000  0.5000


No. 19
Below is an optimized crystal structure of AsPt2Pb, with properties calculated at the PBE level.

Calculated values
Calculated formation energy = 0.07 eV/atom
Calculated volume = 76 Å³/f.u.
Total energy = -5.036 eV per atom

a = 4.7174 Å, b = 4.7174 Å, c = 3.4162 Å
α = 90.00°, β = 90.00°, γ = 90.07°
Positions (direct):
As  0.0000  0.0000  0.0000
Pt  0.0000  0.5000  0.5000
Pt  0.5000  0.0000  0.5000
Pb  0.5000  0.5000  0.0000


No. 20
Below is an optimized crystal structure of KLaP2Se6, with properties calculated at the PBE level.

Calculated values
Calculated volume = 287 Å³/f.u.
Total energy = -4.636 eV per atom

a = 12.7240 Å, b = 7.9681 Å, c = 11.9795 Å
α = 90.00°, β = 109.23°, γ = 90.00°
Positions (direct):
K  0.1275  0.0880  0.3691
K  0.1275  0.4120  0.8691
K  0.8725  0.5880  0.1309
K  0.8725  0.9120  0.6309
La  0.3523  0.6024  0.5970
La  0.3523  0.8976  0.0970
La  0.6477  0.1024  0.9030
La  0.6477  0.3976  0.4030
P  0.2141  0.6168  0.2680
P  0.2141  0.8832  0.7680
P  0.3277  0.0949  0.7532
P  0.3277  0.4051  0.2532
P  0.6723  0.5949  0.7468
P  0.6723  0.9051  0.2468
P  0.7859  0.1168  0.2320
P  0.7859  0.3832  0.7320
Se  0.1164  0.5187  0.3738
Se  0.1164  0.9813  0.8738
Se  0.1331  0.7124  0.0866
Se  0.1331  0.7876  0.5866
Se  0.2198  0.2154  0.1375
Se  0.2198  0.2846  0.6375
Se  0.3304  0.6880  0.8665
Se  0.3304  0.8120  0.3665
Se  0.4130  0.1887  0.9349
Se  0.4130  0.3113  0.4349
Se  0.4496  0.5306  0.1826
Se  0.4496  0.9694  0.6826
Se  0.5504  0.0306  0.3174
Se  0.5504  0.4694  0.8174
Se  0.5870  0.6887  0.5651
Se  0.5870  0.8113  0.0651
Se  0.6696  0.1880  0.6335
Se  0.6696  0.3120  0.1335
Se  0.7802  0.7154  0.3625
Se  0.7802  0.7846  0.8625
Se  0.8669  0.2124  0.4134
Se  0.8669  0.2876  0.9134
Se  0.8836  0.0187  0.1262
Se  0.8836  0.4813  0.6262